Entry 1:
First-principles (PBE-GGA) data for Sb3As5S12 after structural relaxation, as listed in Alexandria.

The structure in CIF format:
```
data_Sb3As5S12
_chemical_formula_sum 'Sb24 As40 S96'
_cell_length_a 15.630
_cell_length_b 15.630
_cell_length_c 15.630
_cell_angle_alpha 90.00
_cell_angle_beta 90.00
_cell_angle_gamma 90.00
_symmetry_space_group_name_H-M 'I a -3 d'
_symmetry_Int_Tables_number 230
_symmetry_space_group_name_Hall '-I 4bd 2c 3'
loop_
_atom_site_label
_atom_site_fract_x
_atom_site_fract_y
_atom_site_fract_z
Sb1 0.000 0.250 0.125
As1 0.000 0.000 0.000
As2 0.000 0.250 0.375
S1 0.023 0.064 0.651
```

Computed properties:
* formation energy without anion corrections: 80 meV/atom

***

Entry 2:
First-principles (PBE-GGA) data for RbBa2P2 after structural relaxation, as listed in Alexandria.

The structure in CIF format:
```
data_RbBa2P2
_chemical_formula_sum 'Rb2 Ba4 P4'
_cell_length_a 9.375
_cell_length_b 9.375
_cell_length_c 3.915
_cell_angle_alpha 90.00
_cell_angle_beta 90.00
_cell_angle_gamma 90.00
_symmetry_space_group_name_H-M 'P 4/m b m'
_symmetry_Int_Tables_number 127
_symmetry_space_group_name_Hall '-P 4 2ab'
loop_
_atom_site_label
_atom_site_fract_x
_atom_site_fract_y
_atom_site_fract_z
Rb1 0.000 0.000 0.000
Ba1 0.135 0.365 0.500
P1 0.163 0.663 0.000
```

Computed properties:
* excess energy over the best structure of this formula in the dataset: 0.000 eV per atom
* formation enthalpy at 0 K: -0.625 eV/atom

***

Entry 3:
First-principles (PBE-GGA) data for PuMnP2 after structural relaxation, as listed in Alexandria.

The structure in CIF format:
```
data_PuMnP2
_chemical_formula_sum 'Pu3 Mn3 P6'
_cell_length_a 3.6071
_cell_length_b 3.6071
_cell_length_c 18.2111
_cell_angle_alpha 90.00
_cell_angle_beta 90.00
_cell_angle_gamma 120.00
_symmetry_space_group_name_H-M 'R 3 m'
_symmetry_Int_Tables_number 160
_symmetry_space_group_name_Hall 'R 3 -2"'
loop_
_atom_site_label
_atom_site_fract_x
_atom_site_fract_y
_atom_site_fract_z
Pu1 0.0000 0.0000 0.0000
Mn1 0.0000 0.0000 0.1765
P1 0.0000 0.0000 0.4393
P2 0.0000 0.0000 0.5709
```

Computed properties:
* formation enthalpy at 0 K: -0.637 eV/atom

***

Entry 4:
First-principles (PBE-GGA) data for La2H2Se2N after structural relaxation, as listed in Alexandria.

The structure in CIF format:
```
data_La2H2Se2N
_chemical_formula_sum 'La4 H4 Se4 N2'
_cell_length_a 4.935
_cell_length_b 5.925
_cell_length_c 13.786
_cell_angle_alpha 90.00
_cell_angle_beta 90.00
_cell_angle_gamma 90.00
_symmetry_space_group_name_H-M 'I m m m'
_symmetry_Int_Tables_number 71
_symmetry_space_group_name_Hall '-I 2 2'
loop_
_atom_site_label
_atom_site_fract_x
_atom_site_fract_y
_atom_site_fract_z
La1 0.000 0.000 0.159
H1 0.082 0.500 0.500
Se1 0.000 0.500 0.217
N1 0.000 0.000 0.000
```

Computed properties:
* calculated total energy: -5.452 eV per atom

***

Entry 5:
First-principles (PBE-GGA) data for Ac3Ge7Rh2 after structural relaxation, as listed in Alexandria.

The structure in CIF format:
```
data_Ac3Ge7Rh2
_chemical_formula_sum 'Ac3 Ge7 Rh2'
_cell_length_a 4.458
_cell_length_b 4.534
_cell_length_c 13.684
_cell_angle_alpha 90.00
_cell_angle_beta 99.30
_cell_angle_gamma 90.00
_symmetry_space_group_name_H-M 'P 1 2/m 1'
_symmetry_Int_Tables_number 10
loop_
_symmetry_equiv_pos_as_xyz
'x,y,z'
'-x,-y,-z'
'-x,y,-z'
'x,-y,z'
loop_
_atom_site_label
_atom_site_fract_x
_atom_site_fract_y
_atom_site_fract_z
Ac1 0.000 0.000 0.000
Ac2 0.316 0.500 0.635
Ge1 0.090 0.500 0.174
Ge2 0.222 0.000 0.444
Ge3 0.413 0.000 0.825
Ge4 0.500 0.500 0.000
Rh1 0.128 0.000 0.258
```

Computed properties:
* formation enthalpy at 0 K: -0.671 eV/atom

***

Entry 6:
First-principles (PBE-GGA) data for ZnGa2Pd after structural relaxation, as listed in Alexandria.

The structure in CIF format:
```
data_ZnGa2Pd
_chemical_formula_sum 'Zn1 Ga2 Pd1'
_cell_length_a 2.883
_cell_length_b 2.880
_cell_length_c 8.010
_cell_angle_alpha 90.00
_cell_angle_beta 99.84
_cell_angle_gamma 90.00
_symmetry_space_group_name_H-M 'P 1 m 1'
_symmetry_Int_Tables_number 6
loop_
_symmetry_equiv_pos_as_xyz
'x,y,z'
'x,-y,z'
loop_
_atom_site_label
_atom_site_fract_x
_atom_site_fract_y
_atom_site_fract_z
Zn1 0.000 0.000 0.000
Ga1 0.217 0.000 0.447
Ga2 0.370 0.500 0.746
Pd1 0.611 0.500 0.228
```

Computed properties:
* formation enthalpy at 0 K: -0.268 eV/atom

***

Entry 7:
First-principles (PBE-GGA) data for Co2Re4Tc3 after structural relaxation, as listed in Alexandria.

The structure in CIF format:
```
data_Co2Re4Tc3
_chemical_formula_sum 'Co8 Re16 Tc12'
_cell_length_a 12.478
_cell_length_b 9.122
_cell_length_c 4.514
_cell_angle_alpha 90.00
_cell_angle_beta 99.91
_cell_angle_gamma 90.00
_symmetry_space_group_name_H-M 'C 1 2/c 1'
_symmetry_Int_Tables_number 15
loop_
_symmetry_equiv_pos_as_xyz
'x,y,z'
'-x,-y,-z'
'-x,y,-z+1/2'
'x,-y,z+1/2'
'x+1/2,y+1/2,z'
'-x+1/2,-y+1/2,-z'
'-x+1/2,y+1/2,-z+1/2'
'x+1/2,-y+1/2,z+1/2'
loop_
_atom_site_label
_atom_site_fract_x
_atom_site_fract_y
_atom_site_fract_z
Co1 0.101 0.138 0.299
Re1 0.065 0.388 0.027
Re2 0.213 0.093 0.871
Tc1 0.000 0.109 0.750
Tc2 0.176 0.348 0.591
```

Computed properties:
* formation enthalpy at 0 K: 0.167 eV/atom

***

Entry 8:
First-principles (PBE-GGA) data for CeGdTc after structural relaxation, as listed in Alexandria.

The structure in CIF format:
```
data_CeGdTc
_chemical_formula_sum 'Ce4 Gd4 Tc4'
_cell_length_a 6.804
_cell_length_b 6.804
_cell_length_c 6.804
_cell_angle_alpha 90.00
_cell_angle_beta 90.00
_cell_angle_gamma 90.00
_symmetry_space_group_name_H-M 'F -4 3 m'
_symmetry_Int_Tables_number 216
_symmetry_space_group_name_Hall 'F -4 2 3'
loop_
_atom_site_label
_atom_site_fract_x
_atom_site_fract_y
_atom_site_fract_z
Ce1 0.000 0.000 0.000
Gd1 0.000 0.000 0.500
Tc1 0.250 0.250 0.750
```

Computed properties:
* excess energy over the best structure of this formula in the dataset: 0.136 eV per atom
* formation enthalpy at 0 K: 0.106 eV/atom

***

Entry 9:
First-principles (PBE-GGA) data for Tm2ThSn2 after structural relaxation, as listed in Alexandria.

The structure in CIF format:
```
data_Tm2ThSn2
_chemical_formula_sum 'Tm8 Th4 Sn8'
_cell_length_a 4.828
_cell_length_b 18.263
_cell_length_c 6.606
_cell_angle_alpha 90.00
_cell_angle_beta 90.00
_cell_angle_gamma 90.00
_symmetry_space_group_name_H-M 'C m c 21'
_symmetry_Int_Tables_number 36
loop_
_symmetry_equiv_pos_as_xyz
'x,y,z'
'-x,-y,z+1/2'
'-x,y,z'
'x,-y,z+1/2'
'x+1/2,y+1/2,z'
'-x+1/2,-y+1/2,z+1/2'
'-x+1/2,y+1/2,z'
'x+1/2,-y+1/2,z+1/2'
loop_
_atom_site_label
_atom_site_fract_x
_atom_site_fract_y
_atom_site_fract_z
Tm1 0.000 0.013 0.000
Tm2 0.000 0.178 0.656
Th1 0.000 0.380 0.768
Sn1 0.000 0.216 0.117
Sn2 0.000 0.432 0.248
```

Computed properties:
* formation enthalpy at 0 K: -0.490 eV/atom

***

Entry 10:
First-principles (PBE-GGA) data for BiSe2I after structural relaxation, as listed in Alexandria.

The structure in CIF format:
```
data_BiSe2I
_chemical_formula_sum 'Bi3 Se6 I3'
_cell_length_a 4.4567
_cell_length_b 4.4567
_cell_length_c 25.6766
_cell_angle_alpha 90.00
_cell_angle_beta 90.00
_cell_angle_gamma 120.00
_symmetry_space_group_name_H-M 'R -3 m'
_symmetry_Int_Tables_number 166
_symmetry_space_group_name_Hall '-R 3 2"'
loop_
_atom_site_label
_atom_site_fract_x
_atom_site_fract_y
_atom_site_fract_z
Bi1 0.0000 0.0000 0.0000
Se1 0.0000 0.0000 0.3925
I1 0.0000 0.0000 0.5000
```

Computed properties:
* excess energy over the best structure of this formula in the dataset: 0.000 eV per atom
* formation energy without anion corrections: -182 meV/atom

***

Entry 11:
First-principles (PBE-GGA) data for SnAs2I after structural relaxation, as listed in Alexandria.

The structure in CIF format:
```
data_SnAs2I
_chemical_formula_sum 'Sn4 As8 I4'
_cell_length_a 7.289
_cell_length_b 7.289
_cell_length_c 7.289
_cell_angle_alpha 90.00
_cell_angle_beta 90.00
_cell_angle_gamma 90.00
_symmetry_space_group_name_H-M 'F m -3 m'
_symmetry_Int_Tables_number 225
_symmetry_space_group_name_Hall '-F 4 2 3'
loop_
_atom_site_label
_atom_site_fract_x
_atom_site_fract_y
_atom_site_fract_z
Sn1 0.000 0.000 0.000
As1 0.250 0.250 0.250
I1 0.000 0.000 0.500
```

Computed properties:
* excess energy over the best structure of this formula in the dataset: 0.144 eV per atom
* formation energy without anion corrections: 497 meV/atom

***

Entry 12:
First-principles (PBE-GGA) data for Ca2Hg3Ge after structural relaxation, as listed in Alexandria.

The structure in CIF format:
```
data_Ca2Hg3Ge
_chemical_formula_sum 'Ca2 Hg3 Ge1'
_cell_length_a 3.616
_cell_length_b 4.904
_cell_length_c 8.453
_cell_angle_alpha 90.00
_cell_angle_beta 90.00
_cell_angle_gamma 90.00
_symmetry_space_group_name_H-M 'P m m 2'
_symmetry_Int_Tables_number 25
loop_
_symmetry_equiv_pos_as_xyz
'x,y,z'
'-x,-y,z'
'-x,y,z'
'x,-y,z'
loop_
_atom_site_label
_atom_site_fract_x
_atom_site_fract_y
_atom_site_fract_z
Ca1 0.000 0.000 0.000
Ca2 0.000 0.500 0.488
Hg1 0.500 0.000 0.655
Hg2 0.500 0.500 0.164
Hg3 0.500 0.500 0.825
Ge1 0.500 0.000 0.328
```

Computed properties:
* excess energy over the best structure of this formula in the dataset: 0.013 eV per atom
* formation enthalpy at 0 K: -0.437 eV/atom